No. 1
A plane-wave DFT calculation with GGA-PBE was carried out for a geometry-optimized KSbCl2 structure.

Cell: 5.510 5.510 5.510 Å, 60.00 60.00 60.00°
Last column: magnetic moment on the atom in μB.
Sites, in units of the cell vectors:
Sb  0.750  0.750  0.750  0.73
K  0.500  0.500  0.500  0.04
Cl  0.000  0.000  0.000  0.10
Cl  0.250  0.250  0.250  0.07

## Properties
The calculation puts the density of states at the Fermi level at 4.603 states/eV per cell. For the energy relative to the elements, uncorrected, the calculation gives -255 meV per atom. Its space-group type is F-43m (216). The calculation puts the excess energy over the best structure of this formula in the dataset at 0.752 eV/atom.

No. 2
A plane-wave DFT calculation with GGA-PBE was carried out for a geometry-optimized K2SbCl structure.

Cell: 6.938 6.938 6.938 Å, 146.21 107.56 82.37°
Last column: magnetic moment on the atom in μB.
Sites, in units of the cell vectors:
Sb  0.750  0.250  0.500  0.36
K  0.042  0.042  0.000  0.00
K  0.458  0.458  0.000  0.00
Cl  0.250  0.750  0.500  0.03

## Properties
The calculation puts the density of states at the Fermi level at 1.884 states/eV per cell. For the energy relative to the elements, uncorrected, the calculation gives -722 meV per atom. Its space-group type is Immm (71). The calculation puts the excess energy over the best structure of this formula in the dataset at 0.322 eV/atom.

No. 3
A plane-wave DFT calculation with GGA-PBE was carried out for a geometry-optimized K2SbCl5 structure.

Cell: 7.673 7.673 6.992 Å, 123.28 123.28 90.00°
Sites, in units of the cell vectors:
K  0.255  0.755  0.509
K  0.755  0.254  0.509
Sb  0.017  0.017  0.034
Cl  0.758  0.244  0.002
Cl  0.244  0.244  0.002
Cl  0.758  0.758  0.002
Cl  0.243  0.758  0.002
Cl  0.747  0.747  0.494

## Properties
The calculation puts the density of states at the Fermi level at 0.000 states/eV per cell. For the energy relative to the elements, uncorrected, the calculation gives -1414 meV per atom. Its space-group type is I4mm (107). The calculation puts the excess energy over the best structure of this formula in the dataset at 0.031 eV/atom.

No. 4
A plane-wave DFT calculation with GGA-PBE was carried out for a geometry-optimized KSbCl2 structure.

Cell: 5.710 3.550 5.708 Å, 90.18 90.00 90.00°
Sites, in units of the cell vectors:
Sb  0.500  0.000  0.875
K  0.000  0.500  0.375
Cl  0.000  0.999  0.875
Cl  0.500  0.002  0.374

## Properties
The calculation puts the density of states at the Fermi level at 1.761 states/eV per cell. For the energy relative to the elements, uncorrected, the calculation gives -948 meV per atom. Its space-group type is Pm (6). The calculation puts the excess energy over the best structure of this formula in the dataset at 0.058 eV/atom.

No. 5
A plane-wave DFT calculation with GGA-PBE was carried out for a geometry-optimized K2SbCl structure.

Cell: 5.934 5.934 5.934 Å, 60.00 60.00 60.00°
Last column: magnetic moment on the atom in μB.
Sites, in units of the cell vectors:
Sb  0.500  0.500  0.500  0.65
K  0.250  0.250  0.250  0.02
K  0.750  0.750  0.750  0.02
Cl  0.000  0.000  0.000  0.10

## Properties
The calculation puts the density of states at the Fermi level at 1.323 states/eV per cell. For the energy relative to the elements, uncorrected, the calculation gives -636 meV per atom. Its space-group type is Fm-3m (225). The calculation puts the excess energy over the best structure of this formula in the dataset at 0.407 eV/atom.

No. 6
A plane-wave DFT calculation with GGA-PBE was carried out for a geometry-optimized KSbCl2 structure.

Cell: 8.235 6.411 3.565 Å, 65.86 101.76 134.34°
Sites, in units of the cell vectors:
Sb  0.500  0.500  0.000
K  0.000  0.500  0.500
Cl  0.000  0.000  0.000
Cl  0.500  0.000  0.500

## Properties
The calculation puts the density of states at the Fermi level at 2.222 states/eV per cell. For the energy relative to the elements, uncorrected, the calculation gives -842 meV per atom. Its space-group type is C2/m (12). The calculation puts the excess energy over the best structure of this formula in the dataset at 0.164 eV/atom.